A relaxed structure of La6Y2Th, computed with PBE.

Results
DFT formation energy: 101 meV per atom

Cell: 9.4644 18.3095 3.6956 Å, 90.00 99.29 90.00°
Space group C2/m (No. 12)
Unique sites:
La 0.1689 0.1720 0.3217 x8
La 0.1774 0.0000 0.8266 x4
Y 0.0000 0.3398 0.0000 x4
Th 0.0000 0.5000 0.5000 x2